# PmMgTa (PBE, optimized geometry)
# DOS at the Fermi energy = 2.2 states/eV/f.u.
# Mass density = 8.2 g cm⁻³
# Energy of formation = 0.98 eV/f.u.
# V = 283.7 Å³/cell
data_PmMgTa
_chemical_formula_sum 'Pm4 Mg4 Ta4'
_symmetry_space_group_name_H-M 'C m m m'
_symmetry_Int_Tables_number 65
_symmetry_space_group_name_Hall '-C 2 2'
_cell_length_a 4.340
_cell_length_b 4.349
_cell_length_c 15.028
_cell_angle_alpha 90.00
_cell_angle_beta 90.00
_cell_angle_gamma 90.00
loop_
_atom_site_label
_atom_site_type_symbol
_atom_site_fract_x
_atom_site_fract_y
_atom_site_fract_z
_atom_site_occupancy
Pm1 Pm 0.000 0.000 0.193 1
Mg1 Mg 0.000 0.000 0.500 1
Mg2 Mg 0.000 0.500 0.000 1
Ta1 Ta 0.000 0.500 0.354 1

---

# TbPm4Mg (PBE, optimized geometry)
# DOS at the Fermi energy = 7.3 states/eV/f.u.
# Mass density = 6.6 g cm⁻³
# Energy of formation = -0.13 eV/f.u.
# V = 193.4 Å³/cell
# Offset from the most stable computed form = 0.0 kJ per mole of atoms
data_TbPm4Mg
_chemical_formula_sum 'Tb1 Pm4 Mg1'
_symmetry_space_group_name_H-M 'P 4/m m m'
_symmetry_Int_Tables_number 123
_symmetry_space_group_name_Hall '-P 4 2'
_cell_length_a 3.652
_cell_length_b 3.652
_cell_length_c 14.502
_cell_angle_alpha 90.00
_cell_angle_beta 90.00
_cell_angle_gamma 90.00
loop_
_atom_site_label
_atom_site_type_symbol
_atom_site_fract_x
_atom_site_fract_y
_atom_site_fract_z
_atom_site_occupancy
Tb1 Tb 0.000 0.000 0.000 1
Pm1 Pm 0.000 0.000 0.349 1
Pm2 Pm 0.500 0.500 0.174 1
Mg1 Mg 0.500 0.500 0.500 1

---

# TbPm3Mg2 (PBE, optimized geometry)
# DOS at the Fermi energy = 6.5 states/eV/f.u.
# Mass density = 5.8 g cm⁻³
# Energy of formation = -0.33 eV/f.u.
# V = 182.5 Å³/cell
data_TbPm3Mg2
_chemical_formula_sum 'Tb1 Pm3 Mg2'
_symmetry_space_group_name_H-M 'P 4/m m m'
_symmetry_Int_Tables_number 123
_symmetry_space_group_name_Hall '-P 4 2'
_cell_length_a 3.776
_cell_length_b 3.776
_cell_length_c 12.804
_cell_angle_alpha 90.00
_cell_angle_beta 90.00
_cell_angle_gamma 90.00
loop_
_atom_site_label
_atom_site_type_symbol
_atom_site_fract_x
_atom_site_fract_y
_atom_site_fract_z
_atom_site_occupancy
Tb1 Tb 0.000 0.000 0.000 1
Pm1 Pm 0.500 0.500 0.191 1
Pm2 Pm 0.500 0.500 0.500 1
Mg1 Mg 0.000 0.000 0.346 1